This record from the Alexandria database describes a relaxed InTc2Mo crystal. The functional is GGA-PBE.

- size of the total moment (Bohr magnetons per cell) = 0.0
- calculated formation energy (eV per atom) = 0.2563
- calculated total energy (eV/f.u.) = -33.28
- Fermi-level density of states (states/eV/cell) = 2.6
- crystal system = monoclinic
- mass density (Mg/m³) = 10.24

abc: 4.9893 4.9893 4.8055
angles: 71.35 71.35 35.85
Fractional coordinates of all 4 atoms:
In1 0.7500 0.7500 0.7500
Tc1 0.5187 0.5187 0.4693
Tc2 0.9813 0.9813 0.0307
Mo1 0.2500 0.2500 0.2500